Record 1
A plane-wave DFT calculation with PBE was carried out for crystalline KScAs2 at its relaxed geometry.

Values from the calculation:
ΔE to the lowest computed polymorph ... 260 meV per atom
Space group ... P4mm

Cell: 3.6107 3.6107 8.9712 Å, 90.00 90.00 90.00°
With the nearest neighbours (Å) after each atom.
Fractional coordinates of all 4 atoms:
K: 0.0000 0.0000 0.0000  5 As 3.26-3.37, 4 K 3.61
Sc: 0.5000 0.5000 0.4523  5 As 2.68-2.71
As: 0.0000 0.0000 0.3629  4 Sc 2.68
As: 0.5000 0.5000 0.7544  1 Sc 2.71


Record 2
A plane-wave DFT calculation with PBE was carried out for crystalline KScAs2 at its relaxed geometry.

Values from the calculation:
ΔE to the lowest computed polymorph ... 0 meV per atom
Space group ... P4/mmm

Cell: 3.7126 3.7126 7.1212 Å, 90.00 90.00 90.00°
With the nearest neighbours (Å) after each atom.
Fractional coordinates of all 4 atoms:
K: 0.0000 0.0000 0.0000  8 As 3.49, 2 Sc 3.56, 4 K 3.71
Sc: 0.0000 0.0000 0.5000  8 As 2.91
As: 0.5000 0.5000 0.3230  1 As 2.52
As: 0.5000 0.5000 0.6770  1 As 2.52


Record 3
A plane-wave DFT calculation with PBE was carried out for crystalline KSc3As at its relaxed geometry.

Values from the calculation:
ΔE to the lowest computed polymorph ... 0 meV per atom
Space group ... Pm-3m

Cell: 5.3062 5.3062 5.3062 Å, 90.00 90.00 90.00°
With the nearest neighbours (Å) after each atom.
Fractional coordinates of all 5 atoms:
K: 0.0000 0.0000 0.0000  12 Sc 3.75
Sc: 0.0000 0.5000 0.5000  2 As 2.65
Sc: 0.5000 0.0000 0.5000  2 As 2.65
Sc: 0.5000 0.5000 0.0000  2 As 2.65
As: 0.5000 0.5000 0.5000  6 Sc 2.65


Record 4
A plane-wave DFT calculation with PBE was carried out for crystalline KSc2As at its relaxed geometry.

Values from the calculation:
Space group ... P4/mmm

Cell: 4.6353 4.6353 4.4220 Å, 90.00 90.00 90.00°
With the nearest neighbours (Å) after each atom.
Fractional coordinates of all 4 atoms:
K: 0.0000 0.0000 0.0000  8 Sc 3.20, 4 As 3.28
Sc: 0.0000 0.5000 0.5000  4 As 3.20, 4 K 3.20, 4 Sc 3.28
Sc: 0.5000 0.0000 0.5000  4 As 3.20, 4 K 3.20, 4 Sc 3.28
As: 0.5000 0.5000 0.0000  8 Sc 3.20, 4 K 3.28


no.,density (g/cm3),formation energy (eV/atom),D(E_F) (states/eV/f.u.)
1,3.321,-0.451,3.40
2,3.957,-0.711,1.79
3,2.766,0.006,6.00
4,3.564,0.059,3.45